This record from the Alexandria database describes TlTcO3 after structural relaxation. The functional is PBE.

Summary:
- final energy (eV/cell) = -32.84
- raw formation energy (eV/atom) = -1.05
- V (Å³/f.u.) = 94.1

Structure (POSCAR):
```
TlTcO3
1.0
3.053 0.000 0.000
0.000 3.926 -3.924
0.000 3.926 3.924
O Tl Tc
3 1 1
Cartesian
1.527 6.294 0.499
0.000 3.926 2.361
1.527 1.557 0.499
0.000 3.926 -0.148
1.527 3.926 3.633
```